w.
VASP calculation (PBE-GGA) on VCd3Ir after structural relaxation. Values from VASP.

Values from the calculation:
- Space group: Pm-3m, No. 221

The structure in Quantum ESPRESSO input format:
```
&SYSTEM
  ibrav = 0, nat = 5, ntyp = 3
/
ATOMIC_SPECIES
Cd 112.41 Cd.upf
Ir 192.22 Ir.upf
V 50.94 V.upf
ATOMIC_POSITIONS angstrom
Cd -2.4137 -0.5282 -0.5317
Cd -0.3943 -0.6301 2.4156
Cd -0.6374 2.3899 0.5194
Ir -3.4454 1.2316 2.4033
V 0.0000 0.0000 0.0000
CELL_PARAMETERS angstrom
-1.2748 4.7798 1.0388
-4.8274 -1.0564 -1.0634
-0.7885 -1.2602 4.8312
```

=====

x.
VASP calculation (PBE-GGA) on VCd3Ir after structural relaxation. Values from VASP.

Values from the calculation:
- Space group: Pm-3m, No. 221

The structure in Quantum ESPRESSO input format:
```
&SYSTEM
  ibrav = 0, nat = 5, ntyp = 3
/
ATOMIC_SPECIES
Cd 112.41 Cd.upf
Ir 192.22 Ir.upf
V 50.94 V.upf
ATOMIC_POSITIONS angstrom
Cd 2.3610 0.3567 -0.9343
Cd 0.9304 -1.6618 1.7167
Cd -0.3667 -1.9198 -1.6596
Ir 0.0000 0.0000 0.0000
V 2.9247 -3.2248 -0.8771
CELL_PARAMETERS angstrom
-0.7333 -3.8396 -3.3192
4.7220 0.7135 -1.8686
1.8609 -3.3235 3.4335
```

=====

Computed relative energies in units of eV/atom: w 0.782; x 0.000

=====

w.
VASP calculation (PBE-GGA) on VCdIr3 after structural relaxation. Values from VASP.

Values from the calculation:
- Space group: Pm-3m, No. 221

The structure in Quantum ESPRESSO input format:
```
&SYSTEM
  ibrav = 0, nat = 5, ntyp = 3
/
ATOMIC_SPECIES
Cd 112.41 Cd.upf
Ir 192.22 Ir.upf
V 50.94 V.upf
ATOMIC_POSITIONS angstrom
Cd 0.0000 0.0000 0.0000
Ir 0.0000 2.4055 0.0000
Ir 0.0000 0.0000 2.4055
Ir 2.4055 0.0000 0.0000
V 2.4055 2.4055 2.4055
CELL_PARAMETERS angstrom
4.8110 0.0000 0.0000
0.0000 4.8110 0.0000
0.0000 0.0000 4.8110
```

=====

x.
VASP calculation (PBE-GGA) on VCdIr3 after structural relaxation. Values from VASP.

Values from the calculation:
- Space group: Pm-3m, No. 221

The structure in Quantum ESPRESSO input format:
```
&SYSTEM
  ibrav = 0, nat = 5, ntyp = 3
/
ATOMIC_SPECIES
Cd 112.41 Cd.upf
Ir 192.22 Ir.upf
V 50.94 V.upf
ATOMIC_POSITIONS angstrom
Cd 2.2792 2.2792 2.2792
Ir 0.0000 2.2792 0.0000
Ir 0.0000 0.0000 2.2792
Ir 2.2792 0.0000 0.0000
V 0.0000 0.0000 0.0000
CELL_PARAMETERS angstrom
4.5583 0.0000 0.0000
0.0000 4.5583 0.0000
0.0000 0.0000 4.5583
```

=====

Computed relative energies in units of eV/atom: w 1.349; x 0.000